{
  "formula": "AuN2F",
  "functional": "PBE-GGA",
  "state": "relaxed",
  "e_above_lowest_polymorph_mev_per_atom": 1518.4,
  "formation_energy_uncorrected_ev_per_atom": 1.273,
  "dft_energy_ry_per_atom": -0.307,
  "density_g_cm3": 7.7,
  "dos_at_fermi_per_ev_cell": 1.09,
  "cell": [[2.6578, 4.4780, 2.3107], [1.4235, 2.6386, 4.8443], [4.2873, 1.7174, 3.3356]],
  "species": ["N", "N", "F", "Au"],
  "fractional_positions": [[0.1121, 0.1121, 0.1121], [0.8879, 0.8879, 0.8879], [0.0000, 0.0000, 0.0000], [0.5000, 0.5000, 0.5000]]
}